Record 1
This record from the Alexandria database describes a relaxed structure of PtRh3. The functional is GGA-PBE.

Cell: 3.870 3.870 7.762 Å, 90.00 90.00 90.00°
Space group I4/mmm (No. 139)
Symmetry-distinct sites (fractional):
Pt 0.000 0.000 0.000 [2 per cell]
Rh 0.000 0.000 0.500 [2 per cell]
Rh 0.000 0.500 0.250 [4 per cell]

Calculated values
Total energy ... -7.04 eV per atom
Mass density ... 14.4 g/cm3

Record 2
This record from the Alexandria database describes a relaxed structure of PtRh. The functional is GGA-PBE.

Cell: 10.313 2.747 4.762 Å, 90.00 117.23 90.00°
Space group C2/m (No. 12)
Symmetry-distinct sites (fractional):
Pt 0.123 0.000 0.292 [4 per cell]
Rh 0.128 0.500 0.797 [4 per cell]

Calculated values
Total energy ... -6.65 eV per atom
Mass density ... 16.5 g/cm3

Record 3
This record from the Alexandria database describes a relaxed structure of PtRh5. The functional is GGA-PBE.

Cell: 7.170 7.170 7.170 Å, 90.00 90.00 90.00°
Space group F-43m (No. 216)
Symmetry-distinct sites (fractional):
Pt 0.000 0.000 0.000 [4 per cell]
Rh 0.125 0.125 0.625 [16 per cell]
Rh 0.250 0.250 0.250 [4 per cell]

Calculated values
Offset from the most stable computed form ... 2.61 eV per formula unit
Mass density ... 12.8 g/cm3